Ta2NiIr: relaxed, PBEsol.

Lattice parameters (Å, degrees): 2.810 2.810 8.956 80.98 80.98 60.00
Sites, in units of the cell vectors:
1 Ir 0.500 0.500 0.500
2 Ta 0.747 0.747 0.759
3 Ta 0.253 0.253 0.241
4 Ni 0.000 0.000 0.000

Summary:
ΔE_f, eV per atom: -0.066
E_tot, eV per atom: -10.336
Symmetry: No. 166
Total magnetic moment, μB/cell: 0.00